Compound: PdPb2Br6
Source: Alexandria
Functional: PBEsol
Structure: optimized geometry

Results
space group	P2_1/c
formation energy (no corrections)	-0.681	eV per atom
spin magnetization	0.000	μB/atom

Geometry as POSCAR:
```
PdPb2Br6
1.0
6.609 0.000 0.000
0.000 8.238 -0.006
0.000 -0.126 9.397
Pd Pb Br
2 4 12
Direct
0.500 0.500 0.000
0.000 0.000 0.000
0.044 0.381 0.725
0.544 0.119 0.275
0.956 0.619 0.275
0.456 0.881 0.725
0.347 0.170 0.557
0.847 0.330 0.443
0.653 0.830 0.443
0.153 0.670 0.557
0.304 0.157 0.947
0.804 0.343 0.053
0.614 0.524 0.755
0.114 0.976 0.245
0.386 0.476 0.245
0.886 0.024 0.755
0.196 0.657 0.947
0.696 0.843 0.053
```

=====

Compound: RePdPbBr2
Source: Alexandria
Functional: PBEsol
Structure: optimized geometry

Results
space group	P4/mmm
density of states at the Fermi level	5.6	states/eV per cell
formation energy (no corrections)	0.974	eV per atom
spin magnetization	0.000	μB/atom

Geometry as POSCAR:
```
RePdPbBr2
1.0
4.749 0.000 0.000
0.000 4.749 0.000
0.000 0.000 5.674
Pb Re Br Pd
1 1 2 1
Direct
0.000 0.000 0.500
0.000 0.000 0.000
0.000 0.500 0.000
0.500 0.000 0.000
0.500 0.500 0.500
```

=====

Compound: PdPbSe2Br
Source: Alexandria
Functional: PBEsol
Structure: optimized geometry

Results
space group	P4/mmm
density of states at the Fermi level	3.5	states/eV per cell
formation energy (no corrections)	-0.124	eV per atom
spin magnetization	0.000	μB/atom

Geometry as POSCAR:
```
PdPbSe2Br
1.0
4.935 0.000 0.000
0.000 4.935 0.000
0.000 0.000 5.000
Pb Se Br Pd
1 2 1 1
Direct
0.500 0.500 0.500
0.000 0.500 0.000
0.500 0.000 0.000
0.000 0.000 0.500
0.000 0.000 0.000
```

=====

Compound: PtPbBr
Source: Alexandria
Functional: PBEsol
Structure: optimized geometry

Results
space group	F-43m
density of states at the Fermi level	3.4	states/eV per cell
formation energy (no corrections)	0.408	eV per atom
spin magnetization	0.000	μB/atom

Geometry as POSCAR:
```
PtPbBr
1.0
4.829 0.000 0.000
2.414 4.182 0.000
2.414 1.394 3.943
Pb Br Pt
1 1 1
Direct
0.250 0.250 0.250
0.500 0.500 0.500
0.000 0.000 0.000
```

=====

Question: What is the formula in the second record?
Answer: RePdPbBr2